{"formula": "CeNdTe2", "functional": "PBE-GGA", "state": "relaxed", "cell": [[6.358, 0.000, 0.000], [0.000, 6.353, 0.253], [0.000, -0.497, 12.706]], "species": ["Te", "Te", "Te", "Te", "Te", "Te", "Te", "Te", "Nd", "Nd", "Nd", "Nd", "Ce", "Ce", "Ce", "Ce"], "frac_coords": [[0.749, 0.000, 0.874], [0.251, 0.500, 0.374], [0.249, 0.500, 0.876], [0.249, 0.000, 0.624], [0.751, 0.500, 0.124], [0.749, 0.500, 0.626], [0.751, 0.000, 0.376], [0.251, 0.000, 0.126], [0.751, 0.500, 0.375], [0.249, 0.500, 0.625], [0.249, 0.000, 0.875], [0.751, 0.000, 0.125], [0.251, 0.000, 0.375], [0.749, 0.000, 0.625], [0.749, 0.500, 0.875], [0.251, 0.500, 0.125]], "polymorph_energy_mev_per_atom": 1, "sg": "P2/c (13)", "formation_energy_uncorrected_ev_per_fu": -5.6}